Pr5In2HgRh2 | PBE | optimized geometry

The structure in CIF format:
```
data_Pr5In2HgRh2
_symmetry_space_group_name_H-M 'P 1'
_symmetry_Int_Tables_number 1
_symmetry_space_group_name_Hall 'P 1'
_cell_length_a 12.096
_cell_length_b 12.096
_cell_length_c 3.863
_cell_angle_alpha 90.00
_cell_angle_beta 90.00
_cell_angle_gamma 90.00
loop_
_atom_site_label
_atom_site_type_symbol
_atom_site_fract_x
_atom_site_fract_y
_atom_site_fract_z
Pr1 Pr 0.000 0.500 0.000
Pr2 Pr 0.075 0.205 0.000
Pr3 Pr 0.205 0.925 0.000
Pr4 Pr 0.295 0.425 0.000
Pr5 Pr 0.425 0.705 0.000
Pr6 Pr 0.500 0.000 0.000
Pr7 Pr 0.575 0.295 0.000
Pr8 Pr 0.705 0.575 0.000
Pr9 Pr 0.795 0.075 0.000
Pr10 Pr 0.925 0.795 0.000
In1 In 0.176 0.676 0.500
In2 In 0.324 0.176 0.500
In3 In 0.676 0.824 0.500
In4 In 0.824 0.324 0.500
Hg1 Hg 0.000 0.000 0.500
Hg2 Hg 0.500 0.500 0.500
Rh1 Rh 0.132 0.368 0.500
Rh2 Rh 0.368 0.868 0.500
Rh3 Rh 0.632 0.132 0.500
Rh4 Rh 0.868 0.632 0.500
```

Results
Energy of formation = -509 meV/atom

***

Li3EuHg | PBE | optimized geometry

The structure in CIF format:
```
data_Li3EuHg
_symmetry_space_group_name_H-M 'P 1'
_symmetry_Int_Tables_number 1
_symmetry_space_group_name_Hall 'P 1'
_cell_length_a 5.125
_cell_length_b 5.125
_cell_length_c 5.125
_cell_angle_alpha 90.00
_cell_angle_beta 90.00
_cell_angle_gamma 90.00
loop_
_atom_site_label
_atom_site_type_symbol
_atom_site_fract_x
_atom_site_fract_y
_atom_site_fract_z
Li1 Li 0.000 0.000 0.500
Li2 Li 0.000 0.500 0.000
Li3 Li 0.500 0.000 0.000
Eu1 Eu 0.500 0.500 0.500
Hg1 Hg 0.000 0.000 0.000
```

Results
Energy of formation = -71 meV/atom

***

Ce2MnH6 | PBE | optimized geometry

The structure in CIF format:
```
data_Ce2MnH6
_symmetry_space_group_name_H-M 'P 1'
_symmetry_Int_Tables_number 1
_symmetry_space_group_name_Hall 'P 1'
_cell_length_a 5.062
_cell_length_b 5.062
_cell_length_c 5.062
_cell_angle_alpha 60.00
_cell_angle_beta 60.00
_cell_angle_gamma 60.00
loop_
_atom_site_label
_atom_site_type_symbol
_atom_site_fract_x
_atom_site_fract_y
_atom_site_fract_z
Ce1 Ce 0.250 0.250 0.250
Ce2 Ce 0.750 0.750 0.750
Mn1 Mn 0.000 0.000 0.000
H1 H 0.235 0.235 0.765
H2 H 0.235 0.765 0.235
H3 H 0.235 0.765 0.765
H4 H 0.765 0.235 0.235
H5 H 0.765 0.235 0.765
H6 H 0.765 0.765 0.235
```

***

SrNdY | PBE | optimized geometry

The structure in CIF format:
```
data_SrNdY
_symmetry_space_group_name_H-M 'P 1'
_symmetry_Int_Tables_number 1
_symmetry_space_group_name_Hall 'P 1'
_cell_length_a 8.577
_cell_length_b 8.577
_cell_length_c 8.577
_cell_angle_alpha 154.52
_cell_angle_beta 154.52
_cell_angle_gamma 36.35
loop_
_atom_site_label
_atom_site_type_symbol
_atom_site_fract_x
_atom_site_fract_y
_atom_site_fract_z
Sr1 Sr 0.000 0.000 0.000
Nd1 Nd 0.681 0.681 0.000
Y1 Y 0.322 0.322 0.000
```

Results
Energy of formation = 105 meV/atom

***

ThSiHRh2 | PBE | optimized geometry

The structure in CIF format:
```
data_ThSiHRh2
_symmetry_space_group_name_H-M 'P 1'
_symmetry_Int_Tables_number 1
_symmetry_space_group_name_Hall 'P 1'
_cell_length_a 5.824
_cell_length_b 5.824
_cell_length_c 7.033
_cell_angle_alpha 90.00
_cell_angle_beta 90.00
_cell_angle_gamma 140.46
loop_
_atom_site_label
_atom_site_type_symbol
_atom_site_fract_x
_atom_site_fract_y
_atom_site_fract_z
Th1 Th 0.073 0.927 0.750
Th2 Th 0.927 0.073 0.250
Si1 Si 0.210 0.790 0.250
Si2 Si 0.790 0.210 0.750
H1 H 0.500 0.500 0.000
H2 H 0.500 0.500 0.500
Rh1 Rh 0.340 0.660 0.549
Rh2 Rh 0.340 0.660 0.951
Rh3 Rh 0.660 0.340 0.049
Rh4 Rh 0.660 0.340 0.451
```

***

GaSiHgOsRh | PBE | optimized geometry

The structure in CIF format:
```
data_GaSiHgOsRh
_symmetry_space_group_name_H-M 'P 1'
_symmetry_Int_Tables_number 1
_symmetry_space_group_name_Hall 'P 1'
_cell_length_a 2.943
_cell_length_b 2.943
_cell_length_c 10.927
_cell_angle_alpha 98.07
_cell_angle_beta 98.07
_cell_angle_gamma 60.03
loop_
_atom_site_label
_atom_site_type_symbol
_atom_site_fract_x
_atom_site_fract_y
_atom_site_fract_z
Ga1 Ga 0.000 0.000 0.000
Si1 Si 0.547 0.547 0.644
Hg1 Hg 0.084 0.084 0.255
Os1 Os 0.269 0.269 0.811
Rh1 Rh 0.825 0.825 0.481
```

Results
Formation energy from raw total energies = -124 meV per atom

***

AgHg2AsS4 | PBE | optimized geometry

The structure in CIF format:
```
data_AgHg2AsS4
_symmetry_space_group_name_H-M 'P 1'
_symmetry_Int_Tables_number 1
_symmetry_space_group_name_Hall 'P 1'
_cell_length_a 8.049
_cell_length_b 8.117
_cell_length_c 6.336
_cell_angle_alpha 90.00
_cell_angle_beta 90.00
_cell_angle_gamma 90.00
loop_
_atom_site_label
_atom_site_type_symbol
_atom_site_fract_x
_atom_site_fract_y
_atom_site_fract_z
Ag1 Ag 0.000 0.120 0.000
Ag2 Ag 0.500 0.880 0.500
Hg1 Hg 0.232 0.349 0.506
Hg2 Hg 0.268 0.651 0.006
Hg3 Hg 0.732 0.651 0.006
Hg4 Hg 0.768 0.349 0.506
As1 As 0.000 0.812 0.511
As2 As 0.500 0.188 0.011
S1 S 0.000 0.162 0.600
S2 S 0.000 0.820 0.143
S3 S 0.243 0.660 0.580
S4 S 0.257 0.340 0.080
S5 S 0.500 0.180 0.643
S6 S 0.500 0.838 0.100
S7 S 0.743 0.340 0.080
S8 S 0.757 0.660 0.580
```

Results
Formation energy from raw total energies = -40 meV per atom

***

Pu4TlAu3 | PBE | optimized geometry

The structure in CIF format:
```
data_Pu4TlAu3
_symmetry_space_group_name_H-M 'P 1'
_symmetry_Int_Tables_number 1
_symmetry_space_group_name_Hall 'P 1'
_cell_length_a 3.244
_cell_length_b 5.529
_cell_length_c 11.030
_cell_angle_alpha 90.00
_cell_angle_beta 90.00
_cell_angle_gamma 90.00
loop_
_atom_site_label
_atom_site_type_symbol
_atom_site_fract_x
_atom_site_fract_y
_atom_site_fract_z
Pu1 Pu 0.000 0.000 0.000
Pu2 Pu 0.000 0.000 0.500
Pu3 Pu 0.000 0.500 0.238
Pu4 Pu 0.000 0.500 0.762
Tl1 Tl 0.500 0.500 0.500
Au1 Au 0.500 0.000 0.253
Au2 Au 0.500 0.000 0.747
Au3 Au 0.500 0.500 0.000
```

Results
Energy of formation = -275 meV/atom

***

| no. | VASP energy (eV per cell) | magnetic moment (μB per formula unit) |
| --- | --- | --- |
| 1 | -98.941 | 0.00 |
| 2 | -16.671 | 7.40 |
| 3 | -45.107 | 2.44 |
| 4 | -12.599 | 0.00 |
| 5 | -70.585 | 0.00 |
| 6 | -27.953 | 0.00 |
| 7 | -49.874 | 0.00 |
| 8 | -71.730 | 11.87 |